This record from Alexandria describes Nd2DyAl6 after structural relaxation. The functional is PBE.

calculated density: 4.60 g/cm³
formation enthalpy at 0 K: -0.19 eV/atom
density of states at the Fermi level: 10.58 states/eV/cell
magnetic moment: 0.000 μB per formula unit
calculated volume: 221 Å³/f.u.
offset from the most stable computed form: 0.281 eV/atom
DFT total energy: -4.2608 eV/atom

Lattice parameters (Å, degrees): 4.4567 7.2363 13.7267 90.00 90.00 90.00
Closest atoms and distances in Å follow each position.
Space group Immm (No. 71)
Unique sites:
Nd 0.0000 0.0000 0.1247  10 Al 2.99-3.26
Dy 0.0000 0.5000 0.0000  4 Al 3.14
Al 0.0000 0.1900 0.3178  2 Al 2.64-2.75
Al 0.0000 0.3064 0.5000  3 Al 2.64-2.80